The following is a GGA-PBE calculation of a geometry-optimized VOsRh structure, from the Alexandria database.

Structure (POSCAR):
```
VOsRh
1.0
2.7690 0.0000 -0.5479
-0.1084 2.7669 -0.5479
0.7702 0.8010 11.1642
V Os Rh
2 2 2
Direct
0.6287 0.6287 0.2574 V
0.3713 0.3713 0.7426 V
0.9441 0.9441 0.8881 Os
0.0559 0.0559 0.1119 Os
0.2040 0.2040 0.4081 Rh
0.7960 0.7960 0.5919 Rh
```

- Total moment: 0.000 μB per atom
- Energy of formation from the pure elements: 32 meV per atom
- Energy above the most stable polymorph in this dataset: 14.6 kJ/mol of atoms
- Uncorrected energy: -9.2008 eV per atom

***

The following is a GGA-PBE calculation of a geometry-optimized ZrPa2Au structure, from the Alexandria database.

Structure (POSCAR):
```
ZrPa2Au
1.0
5.0384 0.0000 0.0000
0.0000 4.2393 0.0000
0.0000 0.0000 4.2393
Pa Au Zr
2 1 1
Direct
0.0000 0.0000 0.5000 Pa
0.0000 0.5000 0.0000 Pa
0.5000 0.0000 0.0000 Au
0.5000 0.5000 0.5000 Zr
```

- Total moment: 0.000 μB per atom
- Energy of formation from the pure elements: -99 meV per atom
- Energy above the most stable polymorph in this dataset: 0.0 kJ/mol of atoms
- Uncorrected energy: -7.8033 eV per atom

***

The following is a GGA-PBE calculation of a geometry-optimized SrInS2Cl structure, from the Alexandria database.

Structure (POSCAR):
```
SrInS2Cl
1.0
5.7419 0.0000 0.0000
0.0000 5.7419 0.0000
0.0000 0.0000 5.6163
In S Sr Cl
1 2 1 1
Direct
0.5000 0.5000 0.5000 In
0.0000 0.5000 0.0000 S
0.5000 0.0000 0.0000 S
0.0000 0.0000 0.0000 Sr
0.0000 0.0000 0.5000 Cl
```

- Energy relative to the elements, uncorrected: -50.38 kJ per mole of atoms
- Total moment: 0.402 μB per atom
- Energy above the most stable polymorph in this dataset: 53.3 kJ/mol of atoms
- Uncorrected energy: -3.4265 eV per atom

***

The following is a GGA-PBE calculation of a geometry-optimized MnReBr4 structure, from the Alexandria database.

Structure (POSCAR):
```
MnReBr4
1.0
-3.8608 -5.0836 0.0961
-5.8348 0.3740 -2.5639
-1.3124 -3.1145 -5.4163
Br Re Mn
4 1 1
Direct
0.8725 0.3758 0.3758 Br
0.3758 0.3758 0.3758 Br
0.3758 0.8725 0.3758 Br
0.3758 0.3758 0.8725 Br
0.0000 0.0000 0.0000 Re
0.7500 0.7500 0.7500 Mn
```

- Energy relative to the elements, uncorrected: 158.10 kJ per mole of atoms
- Total moment: 1.646 μB per atom
- Uncorrected energy: -3.0796 eV per atom

***

The following is a GGA-PBE calculation of a geometry-optimized Sr2ZrBr structure, from the Alexandria database.

Structure (POSCAR):
```
Sr2ZrBr
1.0
-0.2206 -3.2157 2.0871
1.4638 -3.2772 -1.3646
9.5671 0.0758 4.6673
Sr Br Zr
2 1 1
Direct
0.5062 0.5062 0.4818 Sr
0.9938 0.9938 0.0182 Sr
0.2500 0.2500 0.2500 Br
0.7500 0.7500 0.7500 Zr
```

- Energy relative to the elements, uncorrected: -36.67 kJ per mole of atoms
- Total moment: 0.000 μB per atom
- Energy above the most stable polymorph in this dataset: 0.0 kJ/mol of atoms
- Uncorrected energy: -3.7763 eV per atom

***

The following is a GGA-PBE calculation of a geometry-optimized TlH2F2 structure, from the Alexandria database.

Structure (POSCAR):
```
TlH2F2
1.0
-4.0331 -4.0401 6.6059
4.7914 -7.1532 -1.4495
1.7421 0.8464 1.5812
H F Tl
4 4 2
Direct
0.3722 0.8722 0.5000 H
0.6278 0.1278 0.5000 H
0.8722 0.6278 0.5000 H
0.1278 0.3722 0.5000 H
0.3714 0.8714 0.0000 F
0.1286 0.3714 0.0000 F
0.6286 0.1286 0.0000 F
0.8714 0.6286 0.0000 F
0.5000 0.5000 0.0000 Tl
0.0000 0.0000 0.0000 Tl
```

- Total moment: 0.000 μB per atom
- Energy above the most stable polymorph in this dataset: 26.1 kJ/mol of atoms
- Uncorrected energy: -3.3209 eV per atom

***

The following is a GGA-PBE calculation of a geometry-optimized TbPr3Er2 structure, from the Alexandria database.

Structure (POSCAR):
```
TbPr3Er2
1.0
-7.6087 -6.6696 -4.4922
-6.3514 -4.7536 4.1745
-8.9235 0.5493 0.6579
Pr Er Tb
6 4 2
Direct
0.2336 0.5164 0.0164 Pr
0.5000 0.7500 0.2500 Pr
0.7664 0.4836 0.9836 Pr
0.5000 0.2500 0.7500 Pr
0.7664 0.9836 0.4836 Pr
0.2336 0.0164 0.5164 Pr
0.9228 0.3199 0.3199 Er
0.0772 0.6801 0.6801 Er
0.5626 0.1801 0.1801 Er
0.4374 0.8199 0.8199 Er
0.0000 0.0000 0.0000 Tb
0.0000 0.5000 0.5000 Tb
```

- Total moment: 0.000 μB per atom
- Energy of formation from the pure elements: 583 meV per atom
- Energy above the most stable polymorph in this dataset: 26.4 kJ/mol of atoms
- Uncorrected energy: -4.0998 eV per atom

***

The following is a GGA-PBE calculation of a geometry-optimized CsSiMoP2 structure, from the Alexandria database.

Structure (POSCAR):
```
CsSiMoP2
1.0
4.8457 0.0000 0.0000
0.0000 4.9358 0.0000
0.0000 0.0000 4.8457
Cs P Mo Si
1 2 1 1
Direct
0.5000 0.5000 0.5000 Cs
0.0000 0.0000 0.5000 P
0.5000 0.0000 0.0000 P
0.0000 0.0000 0.0000 Mo
0.0000 0.5000 0.0000 Si
```

- Energy relative to the elements, uncorrected: 19.27 kJ per mole of atoms
- Total moment: 0.000 μB per atom
- Uncorrected energy: -5.3857 eV per atom

***

The following is a GGA-PBE calculation of a geometry-optimized Tm2ScCo9 structure, from the Alexandria database.

Structure (POSCAR):
```
Tm2ScCo9
1.0
4.8939 0.0000 0.0000
2.4470 4.2383 0.0000
2.4470 1.4128 8.0624
Co Tm Sc
9 2 1
Direct
0.0779 0.5828 0.7565 Co
0.5000 0.5000 0.5000 Co
0.6652 0.6652 0.0045 Co
0.4172 0.4172 0.2435 Co
0.5828 0.0779 0.7565 Co
0.3348 0.3348 0.9955 Co
0.4172 0.9221 0.2435 Co
0.9221 0.4172 0.2435 Co
0.5828 0.5828 0.7565 Co
0.1390 0.1390 0.5829 Tm
0.8610 0.8610 0.4171 Tm
0.0000 0.0000 0.0000 Sc
```

- Total moment: 0.895 μB per atom
- Energy of formation from the pure elements: -207 meV per atom
- Uncorrected energy: -6.8092 eV per atom

***

The following is a GGA-PBE calculation of a geometry-optimized SrTeIr structure, from the Alexandria database.

Structure (POSCAR):
```
SrTeIr
1.0
-0.7540 -2.0561 5.7300
0.5466 -4.8978 3.6535
3.3114 0.2360 1.7485
Ir Sr Te
1 1 1
Direct
0.0501 0.0501 0.9499 Ir
0.3334 0.3334 0.6666 Sr
0.6165 0.6165 0.3835 Te
```

- Energy relative to the elements, uncorrected: -20.29 kJ per mole of atoms
- Total moment: 0.000 μB per atom
- Energy above the most stable polymorph in this dataset: 42.0 kJ/mol of atoms
- Uncorrected energy: -4.7718 eV per atom